A relaxed structure of Pm5NdEr4. Source: Alexandria, functional PBE.

E_form	3.58	kJ per mole of atoms
M_tot	0.00	μB per formula unit
energy	-4.640	eV/atom
space group	C2/m, No. 12
relative energy among the computed polymorphs	0	meV per atom

Cell lengths 8.7602, 8.7602, 11.4698 Å; angles 108.63, 108.63, 23.40 degrees
With the nearest neighbours (Å) after each atom.
Positions (direct):
Pm: 0.0000 0.0000 0.0000  6 Er 3.29-3.62, 2 Pm 3.55
Pm: 0.2891 0.2891 0.8845  8 Pm 3.55-3.86, 5 Er 3.64-3.79
Pm: 0.3104 0.3104 0.4216  4 Er 3.35-3.56, 4 Pm 3.55-3.62, 2 Nd 3.56
Pm: 0.6896 0.6896 0.5784  4 Er 3.35-3.56, 4 Pm 3.55-3.62, 2 Nd 3.56
Pm: 0.7109 0.7109 0.1155  8 Pm 3.55-3.86, 5 Er 3.64-3.79
Nd: 0.0000 0.0000 0.5000  6 Er 3.38-3.64, 2 Nd 3.55, 4 Pm 3.56
Er: 0.1048 0.1048 0.2965  6 Pm 3.29-3.64, 1 Nd 3.38, 4 Er 3.52-3.55
Er: 0.4173 0.4173 0.2081  6 Pm 3.51-3.79, 4 Er 3.52-3.55, 2 Nd 3.64
Er: 0.5827 0.5827 0.7919  6 Pm 3.51-3.79, 4 Er 3.52-3.55, 2 Nd 3.64
Er: 0.8952 0.8952 0.7035  6 Pm 3.29-3.64, 1 Nd 3.38, 4 Er 3.52-3.55

=====

A relaxed structure of Pm8Nd2Er. Source: Alexandria, functional PBE.

E_form	15.86	kJ per mole of atoms
M_tot	0.00	μB per formula unit
energy	-4.572	eV/atom
space group	C2/m, No. 12
relative energy among the computed polymorphs	150	meV per atom

Cell lengths 10.2370, 10.2370, 5.7540 Å; angles 93.64, 93.64, 40.61 degrees
With the nearest neighbours (Å) after each atom.
Positions (direct):
Pm: 0.0447 0.0447 0.2341  1 Pm 3.10, 1 Nd 3.29
Pm: 0.1095 0.6359 0.2693  6 Pm 3.37-3.74, 1 Er 3.52, 2 Nd 3.53-3.71
Pm: 0.3145 0.3145 0.7725  4 Nd 3.40-3.60, 4 Pm 3.53-3.68, 1 Er 3.71
Pm: 0.3641 0.8905 0.7307  6 Pm 3.37-3.74, 1 Er 3.52, 2 Nd 3.53-3.71
Pm: 0.6359 0.1095 0.2693  6 Pm 3.37-3.74, 1 Er 3.52, 2 Nd 3.53-3.71
Pm: 0.6855 0.6855 0.2275  4 Nd 3.40-3.60, 4 Pm 3.53-3.68, 1 Er 3.71
Pm: 0.8905 0.3641 0.7307  6 Pm 3.37-3.74, 1 Er 3.52, 2 Nd 3.53-3.71
Pm: 0.9553 0.9553 0.7659  1 Pm 3.10, 1 Nd 3.29
Nd: 0.2164 0.2164 0.2587  7 Pm 3.29-3.60
Nd: 0.7836 0.7836 0.7413  7 Pm 3.29-3.60
Er: 0.5000 0.5000 0.0000  10 Pm 3.52-3.88

=====

A relaxed structure of Pm3Nd2Er. Source: Alexandria, functional PBE.

E_form	14.28	kJ per mole of atoms
M_tot	0.00	μB per formula unit
energy	-4.577	eV/atom
space group	P-1, No. 2
relative energy among the computed polymorphs	0	meV per atom

Cell lengths 3.4870, 6.6698, 9.2438 Å; angles 77.41, 79.30, 89.98 degrees
With the nearest neighbours (Å) after each atom.
Positions (direct):
Pm: 0.0000 0.0000 0.0000  2 Er 3.33, 4 Pm 3.47-3.49, 4 Nd 3.73
Pm: 0.1719 0.3596 0.6598  1 Er 3.42, 5 Pm 3.47-3.55, 5 Nd 3.64-3.80
Pm: 0.8281 0.6404 0.3402  1 Er 3.42, 5 Pm 3.47-3.55, 5 Nd 3.64-3.80
Nd: 0.3399 0.1514 0.3216  4 Nd 3.49-3.84, 7 Pm 3.64-3.80, 2 Er 3.73-3.74
Nd: 0.6601 0.8486 0.6784  4 Nd 3.49-3.84, 7 Pm 3.64-3.80, 2 Er 3.73-3.74
Er: 0.0000 0.5000 0.0000  4 Pm 3.33-3.42, 2 Er 3.49, 2 Nd 3.73

=====

A relaxed structure of Pm3Nd12Er. Source: Alexandria, functional PBE.

E_form	1.19	kJ per mole of atoms
M_tot	0.00	μB per formula unit
energy	-4.739	eV/atom
space group	P4/mmm, No. 123

Cell lengths 5.1815, 5.1815, 20.6997 Å; angles 90.00, 90.00, 90.00 degrees
With the nearest neighbours (Å) after each atom.
Positions (direct):
Pm: 0.0000 0.0000 0.0000  12 Nd 3.66-3.67
Pm: 0.0000 0.0000 0.2512  12 Nd 3.66-3.67
Pm: 0.0000 0.0000 0.7488  12 Nd 3.66-3.67
Nd: 0.0000 0.5000 0.1255  8 Nd 3.66-3.68, 4 Pm 3.67
Nd: 0.0000 0.5000 0.3767  8 Nd 3.64-3.67, 2 Er 3.64, 2 Pm 3.67
Nd: 0.0000 0.5000 0.6233  8 Nd 3.64-3.67, 2 Er 3.64, 2 Pm 3.67
Nd: 0.0000 0.5000 0.8745  8 Nd 3.66-3.68, 4 Pm 3.67
Nd: 0.5000 0.0000 0.1255  8 Nd 3.66-3.68, 4 Pm 3.67
Nd: 0.5000 0.0000 0.3767  8 Nd 3.64-3.67, 2 Er 3.64, 2 Pm 3.67
Nd: 0.5000 0.0000 0.6233  8 Nd 3.64-3.67, 2 Er 3.64, 2 Pm 3.67
Nd: 0.5000 0.0000 0.8745  8 Nd 3.66-3.68, 4 Pm 3.67
Nd: 0.5000 0.5000 0.0000  4 Pm 3.66, 8 Nd 3.67
Nd: 0.5000 0.5000 0.2515  4 Pm 3.66, 8 Nd 3.67-3.68
Nd: 0.5000 0.5000 0.5000  8 Nd 3.64, 4 Er 3.66
Nd: 0.5000 0.5000 0.7485  4 Pm 3.66, 8 Nd 3.67-3.68
Er: 0.0000 0.0000 0.5000  12 Nd 3.64-3.66

=====

A relaxed structure of Pm4Nd11Er9. Source: Alexandria, functional PBE.

E_form	5.95	kJ per mole of atoms
M_tot	0.00	μB per formula unit
energy	-4.626	eV/atom
space group	Cmmm, No. 65

Cell lengths 15.3653, 15.3653, 3.7090 Å; angles 90.00, 90.00, 113.00 degrees
With the nearest neighbours (Å) after each atom.
Positions (direct):
Pm: 0.0548 0.2563 0.0000  6 Nd 3.31-3.43, 3 Er 3.56-3.69
Pm: 0.2563 0.0548 0.0000  6 Nd 3.31-3.43, 3 Er 3.56-3.69
Pm: 0.7437 0.9452 0.0000  6 Nd 3.31-3.43, 3 Er 3.56-3.69
Pm: 0.9452 0.7437 0.0000  6 Nd 3.31-3.43, 3 Er 3.56-3.69
Nd: 0.0938 0.4560 0.5000  2 Pm 3.43, 6 Er 3.54-3.74, 3 Nd 3.63-3.71
Nd: 0.1334 0.8666 0.5000  4 Pm 3.33, 4 Er 3.62, 2 Nd 3.71
Nd: 0.2102 0.2102 0.5000  4 Pm 3.31, 4 Er 3.68
Nd: 0.3404 0.6596 0.5000  8 Er 3.70-3.73, 5 Nd 3.71-4.09
Nd: 0.4560 0.0938 0.5000  2 Pm 3.43, 6 Er 3.54-3.74, 3 Nd 3.63-3.71
Nd: 0.5000 0.5000 0.5000  8 Er 3.53, 2 Nd 3.71
Nd: 0.5440 0.9062 0.5000  2 Pm 3.43, 6 Er 3.54-3.74, 3 Nd 3.63-3.71
Nd: 0.6596 0.3404 0.5000  8 Er 3.70-3.73, 5 Nd 3.71-4.09
Nd: 0.7898 0.7898 0.5000  4 Pm 3.31, 4 Er 3.68
Nd: 0.8666 0.1334 0.5000  4 Pm 3.33, 4 Er 3.62, 2 Nd 3.71
Nd: 0.9062 0.5440 0.5000  2 Pm 3.43, 6 Er 3.54-3.74, 3 Nd 3.63-3.71
Er: 0.0000 0.0000 0.0000  4 Pm 3.69, 2 Er 3.71, 8 Nd 3.89-4.02
Er: 0.1336 0.6640 0.0000  3 Er 3.43-3.71, 8 Nd 3.54-3.74, 1 Pm 3.56
Er: 0.2884 0.4345 0.0000  8 Nd 3.53-3.73, 1 Pm 3.56, 3 Er 3.71-3.74
Er: 0.3360 0.8664 0.0000  3 Er 3.43-3.71, 8 Nd 3.54-3.74, 1 Pm 3.56
Er: 0.4345 0.2884 0.0000  8 Nd 3.53-3.73, 1 Pm 3.56, 3 Er 3.71-3.74
Er: 0.5655 0.7116 0.0000  8 Nd 3.53-3.73, 1 Pm 3.56, 3 Er 3.71-3.74
Er: 0.6640 0.1336 0.0000  3 Er 3.43-3.71, 8 Nd 3.54-3.74, 1 Pm 3.56
Er: 0.7116 0.5655 0.0000  8 Nd 3.53-3.73, 1 Pm 3.56, 3 Er 3.71-3.74
Er: 0.8664 0.3360 0.0000  3 Er 3.43-3.71, 8 Nd 3.54-3.74, 1 Pm 3.56

=====

A relaxed structure of Pm2Nd2Er5. Source: Alexandria, functional PBE.

E_form	1.71	kJ per mole of atoms
M_tot	0.00	μB per formula unit
energy	-4.632	eV/atom
space group	P-1, No. 2
relative energy among the computed polymorphs	0	meV per atom

Cell lengths 3.5723, 8.0073, 10.6918 Å; angles 77.46, 89.98, 77.12 degrees
With the nearest neighbours (Å) after each atom.
Positions (direct):
Pm: 0.0011 0.4968 0.3342  7 Er 3.55-3.61, 3 Pm 3.56-3.57, 2 Nd 3.60
Pm: 0.9989 0.5032 0.6658  7 Er 3.55-3.61, 3 Pm 3.56-3.57, 2 Nd 3.60
Nd: 0.3341 0.8328 0.1116  6 Er 3.57-3.58, 4 Nd 3.57-3.60, 2 Pm 3.60
Nd: 0.6659 0.1672 0.8884  6 Er 3.57-3.58, 4 Nd 3.57-3.60, 2 Pm 3.60
Er: 0.0000 0.5000 0.0000  2 Pm 3.57, 4 Nd 3.57, 6 Er 3.57-3.59
Er: 0.3321 0.8370 0.4449  7 Er 3.52-3.57, 1 Nd 3.57, 4 Pm 3.58-3.61
Er: 0.3326 0.8333 0.7764  7 Er 3.54-3.59, 2 Pm 3.55, 3 Nd 3.58
Er: 0.6674 0.1667 0.2236  7 Er 3.54-3.59, 2 Pm 3.55, 3 Nd 3.58
Er: 0.6679 0.1630 0.5551  7 Er 3.52-3.57, 1 Nd 3.57, 4 Pm 3.58-3.61